The following is a PBE-GGA calculation of crystalline K2CuSbCl6 at its relaxed geometry, from the Alexandria database.

Unit cell a=7.5028 b=7.5534 c=8.5840 alpha=124.99 beta=129.98 gamma=74.80
Closest atoms and distances in Å follow each position.
Sites, in units of the cell vectors:
1 K 0.7941 0.2780 0.4646  6 Cl 3.18-3.33, 1 Cu 3.56
2 K 0.2306 0.7185 0.5347  5 Cl 3.08-3.27
3 Cu 0.4381 0.4877 0.0877  4 Cl 2.31-2.37
4 Sb 0.0029 0.0112 0.9978  4 Cl 2.51-2.73
5 Cl 0.8686 0.8400 0.0954  1 Sb 2.53
6 Cl 0.6118 0.7205 0.4972  1 Cu 2.32
7 Cl 0.1785 0.1842 0.8787  1 Cu 2.32
8 Cl 0.7667 0.3475 0.1003  1 Cu 2.37
9 Cl 0.3607 0.2339 0.4362  1 Sb 2.51
10 Cl 0.2469 0.6824 0.9054  1 Cu 2.31

Values from the calculation:
Its volume is 301.0 Å³/f.u. The value obtained for the polymorph energy (0 for the lowest one) is 0 meV/atom. The calculation puts the energy relative to the elements, uncorrected at -1235.6 meV per atom. The magnetic moment comes out at 0.1 μB/f.u.

=====

The following is a PBE-GGA calculation of crystalline K2CuSbCl6 at its relaxed geometry, from the Alexandria database.

Unit cell a=7.3119 b=7.3119 c=7.3119 alpha=60.00 beta=60.00 gamma=60.00
Closest atoms and distances in Å follow each position.
Sites, in units of the cell vectors:
1 K 0.7500 0.7500 0.7500  12 Cl 3.66
2 K 0.2500 0.2500 0.2500  12 Cl 3.66
3 Cu 0.5000 0.5000 0.5000  6 Cl 2.50
4 Sb 0.0000 0.0000 0.0000  6 Cl 2.67
5 Cl 0.7418 0.2582 0.2582  1 Cu 2.50, 1 Sb 2.67
6 Cl 0.2582 0.2582 0.7418  1 Cu 2.50, 1 Sb 2.67
7 Cl 0.2582 0.7418 0.7418  1 Cu 2.50, 1 Sb 2.67
8 Cl 0.2582 0.7418 0.2582  1 Cu 2.50, 1 Sb 2.67
9 Cl 0.7418 0.2582 0.7418  1 Cu 2.50, 1 Sb 2.67
10 Cl 0.7418 0.7418 0.2582  1 Cu 2.50, 1 Sb 2.67

Values from the calculation:
Its volume is 276.4 Å³/f.u. The value obtained for the polymorph energy (0 for the lowest one) is 40 meV/atom. The calculation puts the energy relative to the elements, uncorrected at -1195.3 meV per atom. The magnetic moment comes out at 0.0 μB/f.u.

=====

The following is a PBE-GGA calculation of crystalline KScCu2Cl6 at its relaxed geometry, from the Alexandria database.

Unit cell a=7.6836 b=9.3474 c=9.3474 alpha=81.88 beta=71.93 gamma=71.93
Closest atoms and distances in Å follow each position.
Sites, in units of the cell vectors:
1 K 0.2500 0.8249 0.1751  4 Cl 3.10-3.19
2 K 0.7500 0.1751 0.8249  4 Cl 3.10-3.19
3 Sc 0.2500 0.1786 0.8214  4 Cl 2.35
4 Sc 0.7500 0.8214 0.1786  4 Cl 2.35
5 Cu 0.3006 0.6575 0.6295  2 Cl 2.18
6 Cu 0.1994 0.3705 0.3425  2 Cl 2.18
7 Cu 0.6994 0.3425 0.3705  2 Cl 2.18
8 Cu 0.8006 0.6295 0.6575  2 Cl 2.18
9 Cl 0.1651 0.9581 0.8192  1 Sc 2.35
10 Cl 0.3349 0.1808 0.0419  1 Sc 2.35
11 Cl 0.8349 0.0419 0.1808  1 Sc 2.35
12 Cl 0.6651 0.8192 0.9581  1 Sc 2.35
13 Cl 0.4855 0.8270 0.3898  1 Sc 2.35
14 Cl 0.0145 0.6102 0.1730  1 Sc 2.35
15 Cl 0.5145 0.1730 0.6102  1 Sc 2.35
16 Cl 0.9855 0.3898 0.8270  1 Sc 2.35
17 Cl 0.0380 0.7267 0.5617  2 Cu 2.18
18 Cl 0.4620 0.4383 0.2733  2 Cu 2.18
19 Cl 0.9620 0.2733 0.4383  2 Cu 2.18
20 Cl 0.5380 0.5617 0.7267  2 Cu 2.18

Values from the calculation:
Its volume is 303.0 Å³/f.u. The calculation puts the energy relative to the elements, uncorrected at -1330.4 meV per atom. The magnetic moment comes out at 0.0 μB/f.u.

=====

The following is a PBE-GGA calculation of crystalline K2ScCuCl6 at its relaxed geometry, from the Alexandria database.

Unit cell a=7.5376 b=7.8582 c=9.1898 alpha=90.00 beta=90.00 gamma=90.00
Closest atoms and distances in Å follow each position.
Sites, in units of the cell vectors:
1 K 0.5000 0.8030 0.2562  7 Cl 3.32-3.71
2 K 0.0000 0.1970 0.7562  7 Cl 3.32-3.71
3 K 0.5000 0.8030 0.7438  7 Cl 3.32-3.71
4 K 0.0000 0.1970 0.2438  7 Cl 3.32-3.71
5 Sc 0.5000 0.2595 0.5000  6 Cl 2.48-2.52
6 Sc 0.0000 0.7405 0.0000  6 Cl 2.48-2.52
7 Cu 0.0000 0.6324 0.5000  4 Cl 2.32-2.33
8 Cu 0.5000 0.3676 0.0000  4 Cl 2.32-2.33
9 Cl 0.5000 0.2394 0.2274  1 Cu 2.32, 1 Sc 2.51
10 Cl 0.5000 0.2394 0.7726  1 Cu 2.32, 1 Sc 2.51
11 Cl 0.0000 0.7606 0.2726  1 Cu 2.32, 1 Sc 2.51
12 Cl 0.0000 0.7606 0.7274  1 Cu 2.32, 1 Sc 2.51
13 Cl 0.2645 0.0397 0.5000  1 Sc 2.48
14 Cl 0.7355 0.0397 0.5000  1 Sc 2.48
15 Cl 0.2741 0.4957 0.5000  1 Cu 2.33, 1 Sc 2.52
16 Cl 0.7259 0.4957 0.5000  1 Cu 2.33, 1 Sc 2.52
17 Cl 0.7741 0.5043 0.0000  1 Cu 2.33, 1 Sc 2.52
18 Cl 0.2259 0.5043 0.0000  1 Cu 2.33, 1 Sc 2.52
19 Cl 0.2355 0.9603 0.0000  1 Sc 2.48
20 Cl 0.7645 0.9603 0.0000  1 Sc 2.48

Values from the calculation:
Its volume is 272.2 Å³/f.u. The value obtained for the polymorph energy (0 for the lowest one) is 0 meV/atom. The calculation puts the energy relative to the elements, uncorrected at -1708.3 meV per atom. The magnetic moment comes out at 0.1 μB/f.u.

=====

The following is a PBE-GGA calculation of crystalline KSc2CuCl8 at its relaxed geometry, from the Alexandria database.

Unit cell a=7.2419 b=7.9210 c=7.6342 alpha=95.59 beta=85.77 gamma=61.27
Closest atoms and distances in Å follow each position.
Sites, in units of the cell vectors:
1 K 0.0000 0.0000 0.5000  6 Cl 3.01-3.25
2 Sc 0.5104 0.5214 0.7560  6 Cl 2.36-2.61
3 Sc 0.4896 0.4786 0.2440  6 Cl 2.36-2.61
4 Cu 0.0000 0.0000 0.0000  2 Cl 2.14
5 Cl 0.1165 0.6185 0.2785  1 Sc 2.36
6 Cl 0.4990 0.7151 0.0487  2 Sc 2.53-2.56
7 Cl 0.9015 0.2532 0.1919  1 Cu 2.14
8 Cl 0.8835 0.3815 0.7215  1 Sc 2.36
9 Cl 0.5010 0.2849 0.9513  2 Sc 2.53-2.56
10 Cl 0.0985 0.7468 0.8081  1 Cu 2.14
11 Cl 0.5046 0.7088 0.4957  2 Sc 2.56-2.58
12 Cl 0.4954 0.2912 0.5043  2 Sc 2.56-2.58

Values from the calculation:
Its volume is 378.5 Å³/f.u. The calculation puts the energy relative to the elements, uncorrected at -1769.2 meV per atom. The magnetic moment comes out at 0.2 μB/f.u.

=====

The following is a PBE-GGA calculation of crystalline K2ScCuCl6 at its relaxed geometry, from the Alexandria database.

Unit cell a=7.1154 b=7.1154 c=7.1154 alpha=60.00 beta=60.00 gamma=60.00
Closest atoms and distances in Å follow each position.
Sites, in units of the cell vectors:
1 K 0.7500 0.7500 0.7500  12 Cl 3.56
2 K 0.2500 0.2500 0.2500  12 Cl 3.56
3 Sc 0.0000 0.0000 0.0000  6 Cl 2.50
4 Cu 0.5000 0.5000 0.5000  6 Cl 2.53
5 Cl 0.7515 0.2485 0.2485  1 Sc 2.50, 1 Cu 2.53
6 Cl 0.2485 0.2485 0.7515  1 Sc 2.50, 1 Cu 2.53
7 Cl 0.2485 0.7515 0.7515  1 Sc 2.50, 1 Cu 2.53
8 Cl 0.2485 0.7515 0.2485  1 Sc 2.50, 1 Cu 2.53
9 Cl 0.7515 0.2485 0.7515  1 Sc 2.50, 1 Cu 2.53
10 Cl 0.7515 0.7515 0.2485  1 Sc 2.50, 1 Cu 2.53

Values from the calculation:
Its volume is 254.7 Å³/f.u. The value obtained for the polymorph energy (0 for the lowest one) is 15 meV/atom. The calculation puts the energy relative to the elements, uncorrected at -1693.5 meV per atom. The magnetic moment comes out at 0.1 μB/f.u.